PmTlCoO4 | PBE+U | optimized geometry

Cell: 5.7344 5.7125 7.5305 Å, 90.00 110.00 90.00°
Space group P2_1/m (No. 11)
Symmetry-distinct sites (fractional):
Pm 0.2308 0.2500 0.0289
Tl 0.3690 0.7500 0.3513
Co 0.1747 0.7500 0.7773
O 0.0315 0.0062 0.2014
O 0.3979 0.7500 0.0392
O 0.4125 0.7500 0.6738

## Properties
Raw total energy: -6.2204 eV/atom